Record 1
LuAl2Ru: relaxed, PBE-GGA.

Cell lengths 3.120, 3.120, 7.154 Å; angles 90.00, 90.00, 90.00 degrees
Space group P4/mmm (No. 123)
Inequivalent atoms, fractional coordinates:
Lu 0.000 0.000 0.000 x1
Al 0.500 0.500 0.309 x2
Ru 0.000 0.000 0.500 x1

N(E_F) ... 1.88 states/eV/f.u.
Excess energy over the best structure of this formula in the dataset ... 0 meV/atom

Record 2
TbLuAlRu: relaxed, PBE-GGA.

Cell lengths 6.948, 6.948, 6.948 Å; angles 90.00, 90.00, 90.00 degrees
Space group F-43m (No. 216)
Inequivalent atoms, fractional coordinates:
Tb 0.000 0.000 0.000 x4
Lu 0.000 0.000 0.500 x4
Al 0.250 0.250 0.250 x4
Ru 0.250 0.250 0.750 x4

N(E_F) ... 2.90 states/eV/f.u.

Energy relative to the elements / eV per atom: -0.530 -0.378
Total moment / μB per atom: 0.00 0.00